Model A:
A relaxed structure of Co3AgIr. Source: the Alexandria database, functional PBE-GGA.

Unit cell a=4.493 b=4.493 c=4.493 alpha=90.00 beta=90.00 gamma=90.00
Element x y z (fractional)
Co1 0.000 0.500 0.000
Co2 0.000 0.000 0.500
Co3 0.500 0.000 0.000
Ag1 0.000 0.000 0.000
Ir1 0.500 0.500 0.500

Summary:
Space-group type ... No. 221
Volume ... 90.7 Å³/cell


Model B:
A relaxed structure of Co3AgIr. Source: the Alexandria database, functional PBE-GGA.

Unit cell a=4.565 b=4.565 c=4.565 alpha=90.00 beta=90.00 gamma=90.00
Element x y z (fractional)
Co1 0.000 0.000 0.500
Co2 0.000 0.500 0.000
Co3 0.500 0.000 0.000
Ir1 0.000 0.000 0.000
Ag1 0.500 0.500 0.500

Summary:
Space-group type ... No. 221
Volume ... 95.1 Å³/cell


Which of them is least stable? Easy: model A.